First-principles (PBE-GGA) data for crystalline PIrRh2 at its relaxed geometry, as listed in Alexandria.

Results
DOS at the Fermi energy	4.8	states/eV/f.u.
energy relative to the elements	-0.2079	eV/atom
space-group type	Amm2

Geometry as POSCAR:
```
PIrRh2
1.0
3.679 0.000 0.000
0.000 1.457 5.226
0.000 -1.457 5.226
P Ir Rh
1 1 2
Direct
0.000 0.000 0.000
0.500 0.855 0.855
0.000 0.224 0.224
0.500 0.578 0.578
```